Record 1
Computed, not measured: a relaxed CuAgSe3 crystal at the PBE level of DFT.

Geometry as extended XYZ:
```
20
Lattice="-1.335 -3.593 -7.603 -5.244 -1.982 6.408 -1.167 8.329 -1.283" Properties=species:S:1:pos:R:3 pbc="T T T"
Cu -4.768 3.564 -4.134
Cu -2.337 2.850 -3.374
Cu -2.978 -0.810 1.656
Cu -5.409 -0.096 0.896
Ag -5.536 0.100 6.086
Ag -2.211 2.654 -8.564
Ag -3.010 -0.941 -2.965
Ag -4.736 3.695 0.487
Se -5.627 6.245 3.537
Se -5.682 1.902 4.021
Se -2.119 -3.490 -6.015
Se -2.065 0.852 -6.499
Se -3.526 1.165 -4.582
Se -3.032 5.024 -4.888
Se -4.220 1.589 2.104
Se -4.715 -2.270 2.410
Se -5.307 4.714 -2.000
Se -3.035 2.209 -1.078
Se -2.440 -1.960 -0.478
Se -4.712 0.545 -1.400
```

Energy above the most stable polymorph in this dataset ... 0.0 meV/atom
Space group ... C2/c, No. 15
Mass density ... 5787 kg/m3
Raw formation energy ... 0.7 kJ/mol of atoms
Final energy ... -3.473 eV/atom


Record 2
Computed, not measured: a relaxed CuAg2Se crystal at the PBE level of DFT.

Geometry as extended XYZ:
```
4
Lattice="-0.973 -3.255 3.728 0.756 -4.709 -1.642 2.889 4.130 -0.188" Properties=species:S:1:pos:R:3 pbc="T T T"
Ag 0.000 0.000 0.000
Ag 1.768 -2.280 -0.393
Cu -0.108 -3.982 1.043
Se 0.904 -1.553 2.292
```

Space group ... I-4m2, No. 119
Mass density ... 8513 kg/m3
Raw formation energy ... 14.4 kJ/mol of atoms
Final energy ... -3.172 eV/atom


Record 3
Computed, not measured: a relaxed CuAg2Se crystal at the PBE level of DFT.

Geometry as extended XYZ:
```
4
Lattice="2.840 0.080 0.000 -0.068 2.841 0.000 0.000 0.000 8.830" Properties=species:S:1:pos:R:3 pbc="T T T"
Ag 0.000 0.000 0.326
Ag 0.000 0.000 4.089
Cu 1.386 1.460 2.207
Se 1.386 1.460 6.622
```

Space group ... Cmmm, No. 65
Mass density ... 8345 kg/m3
Raw formation energy ... 16.2 kJ/mol of atoms
Final energy ... -3.153 eV/atom


Record 4
Computed, not measured: a relaxed CuAg3Se crystal at the PBE level of DFT.

Geometry as extended XYZ:
```
5
Lattice="-0.109 4.914 -1.159 -4.756 -0.488 -1.624 -1.693 1.056 4.639" Properties=species:S:1:pos:R:3 pbc="T T T"
Cu -3.279 2.741 0.928
Se 0.000 0.000 0.000
Ag -2.378 -0.244 -0.812
Ag -0.846 0.528 2.319
Ag -0.054 2.457 -0.579
```

Energy above the most stable polymorph in this dataset ... 62.1 meV/atom
Space group ... Pm-3m, No. 221
Mass density ... 6011 kg/m3
Raw formation energy ... 60.5 kJ/mol of atoms
Final energy ... -2.600 eV/atom


Record 5
Computed, not measured: a relaxed CuAgSe2 crystal at the PBE level of DFT.

Geometry as extended XYZ:
```
4
Lattice="3.645 0.000 0.000 0.000 7.018 0.000 0.000 0.000 3.586" Properties=species:S:1:pos:R:3 pbc="T T T"
Ag 1.823 0.000 1.793
Cu 0.000 3.509 1.793
Se 0.000 0.000 0.000
Se 1.823 3.509 0.000
```

Space group ... Pmmm, No. 47
Mass density ... 5962 kg/m3
Raw formation energy ... 21.6 kJ/mol of atoms
Final energy ... -3.255 eV/atom


Record 6
Computed, not measured: a relaxed CuAgSe2 crystal at the PBE level of DFT.

Geometry as extended XYZ:
```
4
Lattice="-0.803 6.909 2.219 -2.255 3.899 5.746 3.896 -5.031 -3.579" Properties=species:S:1:pos:R:3 pbc="T T T"
Ag -1.364 4.821 3.553
Cu 0.188 1.667 2.729
Se -0.175 0.618 0.455
Se 0.659 4.074 1.631
```

Space group ... Imm2, No. 44
Mass density ... 6981 kg/m3
Raw formation energy ... 7.9 kJ/mol of atoms
Final energy ... -3.397 eV/atom


Record 7
Computed, not measured: a relaxed CuAg8Se6 crystal at the PBE level of DFT.

Geometry as extended XYZ:
```
30
Lattice="-6.254 3.884 2.886 0.094 -4.600 6.393 6.658 7.034 4.963" Properties=species:S:1:pos:R:3 pbc="T T T"
Cu -1.165 6.283 4.537
Cu 4.915 5.820 8.968
Ag 4.322 8.440 6.009
Ag -0.595 3.639 7.479
Ag -4.429 0.578 8.253
Ag 3.391 1.769 8.007
Ag 3.354 3.600 5.461
Ag -4.486 3.347 4.405
Ag 1.725 3.344 10.209
Ag -1.536 0.300 6.966
Ag -1.572 2.078 4.494
Ag 1.668 6.165 6.287
Ag 0.530 5.841 11.365
Ag 1.385 -0.375 7.095
Ag 1.336 2.027 3.757
Ag 0.485 8.039 8.310
Ag 1.449 4.998 3.575
Ag -3.953 0.498 5.268
Se 2.031 9.508 6.811
Se 1.273 2.124 6.362
Se 3.589 6.181 4.394
Se -3.099 2.479 6.681
Se -3.601 6.034 4.394
Se 5.251 3.850 7.546
Se -0.966 4.355 3.148
Se 2.565 5.476 8.754
Se -0.526 -1.932 5.899
Se -0.888 3.881 10.080
Se -0.935 6.177 6.888
Se -0.573 0.371 2.698
```

Space group ... Pmn2_1, No. 31
Mass density ... 6860 kg/m3
Raw formation energy ... -3.9 kJ/mol of atoms
Final energy ... -3.228 eV/atom


Record 8
Computed, not measured: a relaxed CuAgSe2 crystal at the PBE level of DFT.

Geometry as extended XYZ:
```
4
Lattice="0.651 -3.575 3.006 1.887 0.804 4.246 -2.672 -0.342 3.871" Properties=species:S:1:pos:R:3 pbc="T T T"
Cu 0.000 0.000 0.000
Se -0.033 -0.778 2.781
Se -0.100 -2.335 8.342
Ag -0.067 -1.556 5.561
```

Space group ... Fm-3m, No. 225
Mass density ... 7375 kg/m3
Raw formation energy ... 30.0 kJ/mol of atoms
Final energy ... -3.168 eV/atom


Record 9
Computed, not measured: a relaxed CuAgSe3 crystal at the PBE level of DFT.

Geometry as extended XYZ:
```
5
Lattice="4.834 0.000 0.000 0.000 4.834 0.000 0.000 0.000 4.834" Properties=species:S:1:pos:R:3 pbc="T T T"
Cu 0.000 0.000 0.000
Se 0.000 2.417 0.000
Se 0.000 0.000 2.417
Se 2.417 0.000 0.000
Ag 2.417 2.417 2.417
```

Energy above the most stable polymorph in this dataset ... 471.9 meV/atom
Space group ... Pm-3m, No. 221
Mass density ... 6002 kg/m3
Raw formation energy ... 46.2 kJ/mol of atoms
Final energy ... -3.001 eV/atom


Record 10
Computed, not measured: a relaxed CuAg2Se crystal at the PBE level of DFT.

Geometry as extended XYZ:
```
4
Lattice="-0.179 5.130 -0.245 -4.817 1.790 -0.010 2.543 -3.322 2.984" Properties=species:S:1:pos:R:3 pbc="T T T"
Ag 0.000 0.000 0.000
Ag -2.498 3.460 -0.128
Cu -2.386 0.964 1.423
Se -0.067 2.634 1.305
```

Space group ... I4/mmm, No. 139
Mass density ... 8517 kg/m3
Raw formation energy ... 14.3 kJ/mol of atoms
Final energy ... -3.173 eV/atom


Record 11
Computed, not measured: a relaxed CuAg2Se crystal at the PBE level of DFT.

Geometry as extended XYZ:
```
4
Lattice="-1.072 0.513 4.262 -3.439 0.054 2.784 0.219 -6.014 1.519" Properties=species:S:1:pos:R:3 pbc="T T T"
Ag 0.179 -5.780 1.511
Ag -2.106 -2.957 4.291
Cu -3.220 -4.085 6.424
Se -1.073 -1.362 2.141
```

Space group ... C2/m, No. 12
Mass density ... 8142 kg/m3
Raw formation energy ... 15.5 kJ/mol of atoms
Final energy ... -3.160 eV/atom


Record 12
Computed, not measured: a relaxed CuAg3Se3 crystal at the PBE level of DFT.

Geometry as extended XYZ:
```
14
Lattice="7.192 0.043 -0.249 -3.165 6.458 -0.249 -0.830 -1.340 6.558" Properties=species:S:1:pos:R:3 pbc="T T T"
Cu 2.651 4.281 5.309
Cu 0.545 0.880 0.750
Ag 1.930 3.116 1.548
Ag -1.833 4.705 3.030
Ag 5.029 0.455 3.030
Ag -0.088 4.552 -0.249
Ag 4.114 1.949 -0.249
Ag 1.266 2.044 4.511
Se 3.312 5.347 1.188
Se 3.991 2.370 4.558
Se 0.344 4.628 4.558
Se -0.794 2.791 1.502
Se 2.853 0.532 1.502
Se -0.116 -0.187 4.872
```

Space group ... C2/m, No. 12
Mass density ... 6893 kg/m3
Raw formation energy ... -1.0 kJ/mol of atoms
Final energy ... -3.311 eV/atom


Record 13
Computed, not measured: a relaxed Cu5AgSe4 crystal at the PBE level of DFT.

Geometry as extended XYZ:
```
20
Lattice="5.691 0.000 0.000 0.000 8.242 0.000 0.000 0.000 8.163" Properties=species:S:1:pos:R:3 pbc="T T T"
Cu 1.395 6.160 6.071
Cu 1.395 2.082 6.071
Cu 4.227 4.121 0.000
Cu 1.395 6.160 2.092
Cu 1.395 2.082 2.092
Cu 4.296 6.203 1.990
Cu 4.296 2.039 1.990
Cu 1.464 0.000 4.082
Cu 4.296 2.039 6.174
Cu 4.296 6.203 6.174
Ag 3.990 0.000 0.000
Ag 1.701 4.121 4.082
Se 0.078 0.000 6.085
Se 2.676 5.988 0.000
Se 2.676 2.254 0.000
Se 0.078 0.000 2.078
Se 5.613 4.121 2.004
Se 3.015 6.375 4.082
Se 3.015 1.867 4.082
Se 5.613 4.121 6.160
```

Space group ... Pmmn, No. 59
Mass density ... 6431 kg/m3
Raw formation energy ... -5.3 kJ/mol of atoms
Final energy ... -3.782 eV/atom


Record 14
Computed, not measured: a relaxed CuAgSe crystal at the PBE level of DFT.

Geometry as extended XYZ:
```
3
Lattice="-0.224 2.027 4.573 1.583 -2.504 4.037 1.570 1.170 -4.608" Properties=species:S:1:pos:R:3 pbc="T T T"
Ag 1.355 -0.476 8.588
Cu 0.422 -0.148 2.672
Se 0.940 -0.330 5.960
```

Space group ... I4mm, No. 107
Mass density ... 7912 kg/m3
Raw formation energy ... 13.0 kJ/mol of atoms
Final energy ... -3.343 eV/atom


Record 15
Computed, not measured: a relaxed CuAg6Se4 crystal at the PBE level of DFT.

Geometry as extended XYZ:
```
11
Lattice="-7.216 -3.304 -0.801 7.191 -2.065 2.765 3.755 4.881 5.070" Properties=species:S:1:pos:R:3 pbc="T T T"
Cu 0.000 0.000 0.000
Ag 7.981 0.241 4.610
Ag 6.390 3.456 5.677
Ag 2.954 0.090 4.134
Ag -0.012 -2.685 0.982
Ag -2.649 -1.459 0.448
Ag -1.731 0.789 2.134
Se 4.876 -0.801 2.240
Se 0.671 -0.515 2.554
Se 3.072 2.845 3.449
Se 6.057 0.799 6.626
```

Space group ... I-42m, No. 121
Mass density ... 7584 kg/m3
Raw formation energy ... -2.7 kJ/mol of atoms
Final energy ... -3.222 eV/atom


Record 16
Computed, not measured: a relaxed CuAgSe2 crystal at the PBE level of DFT.

Geometry as extended XYZ:
```
4
Lattice="3.984 -0.327 0.000 -2.154 3.367 0.000 0.000 0.000 7.315" Properties=species:S:1:pos:R:3 pbc="T T T"
Ag 0.915 1.520 1.829
Cu 0.915 1.520 5.486
Se 0.000 0.000 7.089
Se 0.000 0.000 3.883
```

Space group ... Cmmm, No. 65
Mass density ... 5882 kg/m3
Raw formation energy ... 14.2 kJ/mol of atoms
Final energy ... -3.332 eV/atom


Record 17
Computed, not measured: a relaxed CuAg2Se crystal at the PBE level of DFT.

Geometry as extended XYZ:
```
8
Lattice="-1.359 -3.510 1.194 0.151 -1.323 -3.717 8.356 -5.402 0.164" Properties=species:S:1:pos:R:3 pbc="T T T"
Cu -0.604 -2.416 -1.261
Cu 3.951 -4.571 -2.407
Se 0.000 0.000 0.000
Se 3.196 -5.664 0.049
Ag 1.263 -3.697 0.319
Ag 2.008 -2.629 -2.129
Ag 5.814 -5.868 -0.836
Ag 5.209 -8.275 -2.071
```

Space group ... I-42d, No. 122
Mass density ... 7989 kg/m3
Raw formation energy ... 19.3 kJ/mol of atoms
Final energy ... -3.120 eV/atom


Record 18
Computed, not measured: a relaxed CuAgSe2 crystal at the PBE level of DFT.

Geometry as extended XYZ:
```
4
Lattice="-5.467 -1.282 3.882 -2.590 -1.317 6.177 -4.077 1.885 5.140" Properties=species:S:1:pos:R:3 pbc="T T T"
Cu -9.101 -0.536 11.399
Se -0.134 -0.008 0.168
Se -5.933 -0.349 7.431
Ag -3.034 -0.179 3.800
```

Space group ... R-3m, No. 166
Mass density ... 7186 kg/m3
Raw formation energy ... -3.3 kJ/mol of atoms
Final energy ... -3.513 eV/atom


Record 19
Computed, not measured: a relaxed Cu2Ag5Se5 crystal at the PBE level of DFT.

Geometry as extended XYZ:
```
12
Lattice="-1.704 3.178 -1.201 -4.450 -4.554 0.276 -0.218 3.775 10.301" Properties=species:S:1:pos:R:3 pbc="T T T"
Cu -0.459 2.792 8.043
Cu -5.912 -0.394 1.334
Ag -0.961 3.476 4.550
Ag -2.670 0.820 -0.055
Ag -3.622 1.348 2.694
Ag -2.750 1.050 6.682
Ag -3.702 1.579 9.432
Se -1.284 0.858 4.094
Se -2.800 3.639 7.590
Se -3.572 -1.240 1.786
Se -5.087 1.541 5.283
Se 0.000 0.000 0.000
```

Space group ... C2/m, No. 12
Mass density ... 7091 kg/m3
Raw formation energy ... -0.4 kJ/mol of atoms
Final energy ... -3.327 eV/atom


Record 20
Computed, not measured: a relaxed Cu4AgSe crystal at the PBE level of DFT.

Geometry as extended XYZ:
```
6
Lattice="0.000 3.524 3.524 3.524 0.000 3.524 3.524 3.524 0.000" Properties=species:S:1:pos:R:3 pbc="T T T"
Cu 2.640 4.409 4.409
Cu 4.409 4.409 2.640
Cu 4.409 2.640 4.409
Cu 2.640 2.640 2.640
Ag 0.000 0.000 0.000
Se 5.287 5.287 5.287
```

Space group ... F-43m, No. 216
Mass density ... 8364 kg/m3
Raw formation energy ... 15.3 kJ/mol of atoms
Final energy ... -3.628 eV/atom